Entry from Alexandria: crystalline CaWO2 at its relaxed geometry (PBE with a Hubbard U).

Summary:
Raw total energy   -6.501 eV per atom
Offset from the most stable computed form   209.1 meV/atom
M_tot   0.8004 μB per atom

a b c (Å): 3.382 9.254 9.479
angles (deg): 104.73 100.14 90.15
Fractional positions:
Ca: 0.101 0.064 0.205
Ca: 0.195 0.740 0.385
Ca: 0.805 0.260 0.615
Ca: 0.899 0.936 0.795
W: 0.179 0.387 0.357
W: 0.489 0.240 0.975
W: 0.511 0.760 0.025
W: 0.821 0.613 0.643
O: 0.063 0.296 0.124
O: 0.088 0.813 0.180
O: 0.302 0.446 0.607
O: 0.323 0.767 0.645
O: 0.677 0.233 0.355
O: 0.698 0.554 0.393
O: 0.912 0.187 0.820
O: 0.937 0.704 0.876